5
Lattice="4.587 0.000 0.000 0.000 4.587 0.000 0.000 0.000 4.412" Properties=species:S:1:pos:R:3 comment="LiZnCuRe2 (PBE, relaxed)" formation_energy_mev_per_atom=1836 dft_energy_ev_per_atom=-4.600 pbc="T T T"
Li 0.000 0.000 0.000
Zn 2.294 2.294 2.206
Cu 2.294 2.294 0.000
Re 0.000 2.294 2.206
Re 2.294 0.000 2.206

***

6
Lattice="0.000 4.367 4.367 4.367 0.000 4.367 4.367 4.367 0.000" Properties=species:S:1:pos:R:3 comment="AlTl4Pt (PBE, relaxed)" formation_energy_mev_per_atom=576 dft_energy_ev_per_atom=-2.632 pbc="T T T"
Al 0.000 0.000 0.000
Tl 3.281 3.281 3.281
Tl 5.453 5.453 3.281
Tl 5.453 3.281 5.453
Tl 3.281 5.453 5.453
Pt 6.551 6.551 6.551

***

12
Lattice="3.923 0.000 0.000 -1.961 3.397 0.000 0.000 0.000 20.844" Properties=species:S:1:pos:R:3 comment="Ho2NiSe (PBE, relaxed)" formation_energy_uncorrected_ev_per_atom=-1.003 dft_energy_ev_per_atom=-5.608 polymorph_energy_mev_per_atom=83 pbc="T T T"
Ho 0.000 0.000 0.000
Ho 0.000 0.000 3.926
Ho 0.000 2.265 13.896
Ho 0.000 2.265 17.822
Ho 1.961 1.132 6.948
Ho 1.961 1.132 10.874
Ni 0.000 0.000 12.372
Ni 0.000 2.265 5.424
Ni 1.961 1.132 19.320
Se 0.000 0.000 8.902
Se 0.000 2.265 1.954
Se 1.961 1.132 15.850

***

- Which formula does entry 2 have?
  AlTl4Pt

***

- Which formula does entry 2 have?
  AlTl4Pt

***

Copy entry 2 word for word.
6
Lattice="0.000 4.367 4.367 4.367 0.000 4.367 4.367 4.367 0.000" Properties=species:S:1:pos:R:3 comment="AlTl4Pt (PBE, relaxed)" formation_energy_mev_per_atom=576 dft_energy_ev_per_atom=-2.632 pbc="T T T"
Al 0.000 0.000 0.000
Tl 3.281 3.281 3.281
Tl 5.453 5.453 3.281
Tl 5.453 3.281 5.453
Tl 3.281 5.453 5.453
Pt 6.551 6.551 6.551